Crystalline I2OF at its relaxed geometry. Source: Alexandria via LeMat-Bulk, functional GGA-PBE.

For the total magnetic moment, the calculation gives 0.01 μB per cell. Its calculated total energy is -32.6 eV per cell. As for the formation energy (no corrections): 0.44 eV per atom. As for the energy relative to the lowest polymorph listed for this composition: 0.369 eV/atom.

The space group is Fm-3m (No. 225) and the conventional cell measures 6.556, 6.556 and 6.556 Å, with angles of 90.00, 90.00 and 90.00 degrees. The inequivalent atoms are I at (0.250, 0.250, 0.250), O at (0.000, 0.000, 0.000) and F at (0.000, 0.000, 0.500).

Crystalline OsIO2F at its relaxed geometry. Source: Alexandria via LeMat-Bulk, functional GGA-PBE.

For the total magnetic moment, the calculation gives 0.23 μB per cell. Its calculated total energy is -27.5 eV per cell. As for the formation energy (no corrections): -0.59 eV per atom.

The space group is P4/mmm (No. 123) and the conventional cell measures 3.774, 3.774 and 5.637 Å, with angles of 90.00, 90.00 and 90.00 degrees. The inequivalent atoms are Os at (0.000, 0.000, 0.000), I at (0.000, 0.000, 0.500), O at (0.000, 0.500, 0.000) and F at (0.500, 0.500, 0.500).

Crystalline OsIO2F at its relaxed geometry. Source: Alexandria via LeMat-Bulk, functional GGA-PBE.

For the total magnetic moment, the calculation gives 5.60 μB per cell. Its calculated total energy is -16.7 eV per cell. As for the formation energy (no corrections): 1.57 eV per atom.

The space group is P4/mmm (No. 123) and the conventional cell measures 4.251, 4.251 and 4.226 Å, with angles of 90.00, 90.00 and 90.00 degrees. The inequivalent atoms are Os at (0.000, 0.000, 0.000), I at (0.500, 0.500, 0.000), O at (0.000, 0.500, 0.500) and F at (0.500, 0.500, 0.500).

Crystalline OsIO2F at its relaxed geometry. Source: Alexandria via LeMat-Bulk, functional GGA-PBE.

For the total magnetic moment, the calculation gives 4.17 μB per cell. Its calculated total energy is -19.3 eV per cell. As for the formation energy (no corrections): 1.05 eV per atom.

The space group is P4/mmm (No. 123) and the conventional cell measures 3.990, 3.990 and 5.920 Å, with angles of 90.00, 90.00 and 90.00 degrees. The inequivalent atoms are Os at (0.000, 0.000, 0.000), I at (0.500, 0.500, 0.500), O at (0.000, 0.500, 0.500) and F at (0.500, 0.500, 0.000).

Crystalline OsIO2F at its relaxed geometry. Source: Alexandria via LeMat-Bulk, functional GGA-PBE.

For the total magnetic moment, the calculation gives 0.00 μB per cell. Its calculated total energy is -27.1 eV per cell. As for the formation energy (no corrections): -0.50 eV per atom.

The space group is P4/mmm (No. 123) and the conventional cell measures 3.693, 3.693 and 7.910 Å, with angles of 90.00, 90.00 and 90.00 degrees. The inequivalent atoms are Os at (0.000, 0.000, 0.000), I at (0.500, 0.500, 0.500), O at (0.000, 0.500, 0.000) and F at (0.000, 0.000, 0.500).

Crystalline PIO2F at its relaxed geometry. Source: Alexandria via LeMat-Bulk, functional GGA-PBE.

For the total magnetic moment, the calculation gives 0.00 μB per cell. Its calculated total energy is -21.5 eV per cell. As for the formation energy (no corrections): -0.54 eV per atom.

The space group is P4/mmm (No. 123) and the conventional cell measures 3.484, 3.484 and 6.011 Å, with angles of 90.00, 90.00 and 90.00 degrees. The inequivalent atoms are P at (0.000, 0.000, 0.000), I at (0.000, 0.000, 0.500), O at (0.000, 0.500, 0.000) and F at (0.500, 0.500, 0.500).

Crystalline PIO2F at its relaxed geometry. Source: Alexandria via LeMat-Bulk, functional GGA-PBE.

For the total magnetic moment, the calculation gives 2.01 μB per cell. Its calculated total energy is -14.6 eV per cell. As for the formation energy (no corrections): 0.84 eV per atom.

The space group is P4/mmm (No. 123) and the conventional cell measures 4.447, 4.447 and 3.721 Å, with angles of 90.00, 90.00 and 90.00 degrees. The inequivalent atoms are P at (0.000, 0.000, 0.000), I at (0.500, 0.500, 0.000), O at (0.000, 0.500, 0.500) and F at (0.000, 0.000, 0.500).

Crystalline PIO2F at its relaxed geometry. Source: Alexandria via LeMat-Bulk, functional GGA-PBE.

For the total magnetic moment, the calculation gives 2.17 μB per cell. Its calculated total energy is -16.8 eV per cell. As for the formation energy (no corrections): 0.39 eV per atom.

The space group is P4/mmm (No. 123) and the conventional cell measures 3.998, 3.998 and 5.823 Å, with angles of 90.00, 90.00 and 90.00 degrees. The inequivalent atoms are P at (0.000, 0.000, 0.000), I at (0.500, 0.500, 0.500), O at (0.000, 0.500, 0.500) and F at (0.500, 0.500, 0.000).

Crystalline PIO2F at its relaxed geometry. Source: Alexandria via LeMat-Bulk, functional GGA-PBE.

For the total magnetic moment, the calculation gives 2.22 μB per cell. Its calculated total energy is -13.0 eV per cell. As for the formation energy (no corrections): 1.15 eV per atom.

The space group is P4/mmm (No. 123) and the conventional cell measures 4.329, 4.329 and 4.223 Å, with angles of 90.00, 90.00 and 90.00 degrees. The inequivalent atoms are P at (0.000, 0.000, 0.000), I at (0.500, 0.500, 0.000), O at (0.000, 0.500, 0.500) and F at (0.500, 0.500, 0.500).

Crystalline P2IOF at its relaxed geometry. Source: Alexandria via LeMat-Bulk, functional GGA-PBE.

For the total magnetic moment, the calculation gives 0.00 μB per cell. Its calculated total energy is -14.7 eV per cell. As for the formation energy (no corrections): 0.89 eV per atom. As for the energy relative to the lowest polymorph listed for this composition: 0.000 eV/atom.

The space group is P4/mmm (No. 123) and the conventional cell measures 4.090, 4.090 and 5.001 Å, with angles of 90.00, 90.00 and 90.00 degrees. The inequivalent atoms are P at (0.000, 0.500, 0.000), I at (0.000, 0.000, 0.500), O at (0.500, 0.500, 0.500) and F at (0.500, 0.500, 0.000).

Crystalline PIO2F at its relaxed geometry. Source: Alexandria via LeMat-Bulk, functional GGA-PBE.

For the total magnetic moment, the calculation gives 0.74 μB per cell. Its calculated total energy is -19.6 eV per cell. As for the formation energy (no corrections): -0.17 eV per atom.

The space group is P4/mmm (No. 123) and the conventional cell measures 4.007, 4.007 and 4.110 Å, with angles of 90.00, 90.00 and 90.00 degrees. The inequivalent atoms are P at (0.000, 0.000, 0.000), I at (0.500, 0.500, 0.500), O at (0.000, 0.500, 0.000) and F at (0.000, 0.000, 0.500).

Crystalline P2IOF at its relaxed geometry. Source: Alexandria via LeMat-Bulk, functional GGA-PBE.

For the total magnetic moment, the calculation gives 3.18 μB per cell. Its calculated total energy is -14.4 eV per cell. As for the formation energy (no corrections): 0.97 eV per atom. As for the energy relative to the lowest polymorph listed for this composition: 0.076 eV/atom.

The space group is P4/mmm (No. 123) and the conventional cell measures 5.321, 5.321 and 4.004 Å, with angles of 90.00, 90.00 and 90.00 degrees. The inequivalent atoms are P at (0.000, 0.500, 0.000), I at (0.000, 0.000, 0.000), O at (0.000, 0.000, 0.500) and F at (0.500, 0.500, 0.500).

Which of these has the lowest calculated total energy?
I2OF

Please write out number 6 again, unchanged.
Crystalline PIO2F at its relaxed geometry. Source: Alexandria via LeMat-Bulk, functional GGA-PBE.

For the total magnetic moment, the calculation gives 0.00 μB per cell. Its calculated total energy is -21.5 eV per cell. As for the formation energy (no corrections): -0.54 eV per atom.

The space group is P4/mmm (No. 123) and the conventional cell measures 3.484, 3.484 and 6.011 Å, with angles of 90.00, 90.00 and 90.00 degrees. The inequivalent atoms are P at (0.000, 0.000, 0.000), I at (0.000, 0.000, 0.500), O at (0.000, 0.500, 0.000) and F at (0.500, 0.500, 0.500).

The highest total magnetic moment belongs to which entry?
number 3

Which value of formation energy (no corrections) does entry 9 give?
1.15 eV per atom